First-principles (PBE with a Hubbard U) data for crystalline BaCaVF2 at its relaxed geometry, as listed in the Alexandria database.

Summary:
Its total DFT energy (no corrections) is -4.30 eV/atom.

Structure (CIF):
```
data_BaCaVF2
_chemical_formula_sum 'Ba1 Ca1 V1 F2'
_cell_length_a 4.948
_cell_length_b 4.948
_cell_length_c 7.202
_cell_angle_alpha 90.00
_cell_angle_beta 90.00
_cell_angle_gamma 90.00
_space_group_name_H-M_alt 'P 4/m m m'
_space_group_IT_number 123
_space_group_name_Hall '-P 4 2'
loop_
_atom_site_label
_atom_site_type_symbol
_atom_site_fract_x
_atom_site_fract_y
_atom_site_fract_z
Ba1 Ba 0.000 0.000 0.000
Ca1 Ca 0.500 0.500 0.500
V1 V 0.000 0.000 0.500
F1 F 0.000 0.500 0.000
```